[1]
## CdCl (GGA-PBE)

Data for a relaxed CdCl crystal.

Lattice parameters (Å, degrees): 7.262 7.262 7.262 147.67 147.67 46.37
Fractional coordinates of all 4 atoms:
Cd: 0.375 0.625 0.750
Cd: 0.625 0.375 0.250
Cl: 0.125 0.875 0.250
Cl: 0.875 0.125 0.750

Summary:
mass density: 4.499 g cm⁻³
symmetry: I4_1/amd

[2]
## CdCl (GGA-PBE)

Data for a relaxed CdCl crystal.

Lattice parameters (Å, degrees): 11.741 10.157 6.539 86.52 59.71 33.77
Fractional coordinates of all 8 atoms:
Cd: 0.018 0.232 0.018
Cd: 0.232 0.018 0.232
Cd: 0.768 0.982 0.768
Cd: 0.982 0.768 0.982
Cl: 0.204 0.204 0.546
Cl: 0.454 0.454 0.796
Cl: 0.546 0.546 0.204
Cl: 0.796 0.796 0.454

Summary:
mass density: 3.947 g cm⁻³
symmetry: Fddd

[3]
## CdCl3 (GGA-PBE)

Data for a relaxed CdCl3 crystal.

Lattice parameters (Å, degrees): 4.952 4.952 4.952 60.00 60.00 60.00
Fractional coordinates of all 4 atoms:
Cd: 0.000 0.000 0.000
Cl: 0.250 0.250 0.250
Cl: 0.500 0.500 0.500
Cl: 0.750 0.750 0.750

Summary:
mass density: 4.230 g cm⁻³
symmetry: Fm-3m

[4]
## CdCl (GGA-PBE)

Data for a relaxed CdCl crystal.

Lattice parameters (Å, degrees): 3.782 3.782 25.988 90.00 90.00 120.00
Fractional coordinates of all 12 atoms:
Cd: 0.000 0.000 0.209
Cd: 0.000 0.000 0.791
Cd: 0.333 0.667 0.126
Cd: 0.333 0.667 0.541
Cd: 0.667 0.333 0.459
Cd: 0.667 0.333 0.874
Cl: 0.000 0.000 0.399
Cl: 0.000 0.000 0.601
Cl: 0.333 0.667 0.732
Cl: 0.333 0.667 0.934
Cl: 0.667 0.333 0.066
Cl: 0.667 0.333 0.268

Summary:
mass density: 4.575 g cm⁻³
symmetry: P-3m1

[5]
## CdCl (GGA-PBE)

Data for a relaxed CdCl crystal.

Lattice parameters (Å, degrees): 12.454 12.454 3.904 90.00 90.00 90.00
Fractional coordinates of all 16 atoms:
Cd: 0.073 0.265 0.000
Cd: 0.265 0.927 0.000
Cd: 0.334 0.577 0.500
Cd: 0.423 0.334 0.500
Cd: 0.577 0.666 0.500
Cd: 0.666 0.423 0.500
Cd: 0.735 0.073 0.000
Cd: 0.927 0.735 0.000
Cl: 0.109 0.388 0.500
Cl: 0.123 0.782 0.000
Cl: 0.218 0.123 0.000
Cl: 0.388 0.891 0.500
Cl: 0.612 0.109 0.500
Cl: 0.782 0.877 0.000
Cl: 0.877 0.218 0.000
Cl: 0.891 0.612 0.500

Summary:
mass density: 3.244 g cm⁻³
symmetry: P4/m

[6]
## CdCl3 (GGA-PBE)

Data for a relaxed CdCl3 crystal.

Lattice parameters (Å, degrees): 5.212 5.212 5.212 90.00 90.00 90.00
Fractional coordinates of all 4 atoms:
Cd: 0.000 0.000 0.000
Cl: 0.000 0.000 0.500
Cl: 0.000 0.500 0.000
Cl: 0.500 0.000 0.000

Summary:
mass density: 2.566 g cm⁻³
symmetry: Pm-3m

[7]
## CdCl (GGA-PBE)

Data for a relaxed CdCl crystal.

Lattice parameters (Å, degrees): 3.720 3.720 9.299 90.00 90.00 120.00
Fractional coordinates of all 4 atoms:
Cd: 0.333 0.667 0.000
Cd: 0.667 0.333 0.500
Cl: 0.333 0.667 0.696
Cl: 0.667 0.333 0.196

Summary:
mass density: 4.406 g cm⁻³
symmetry: P6_3mc

[8]
## CdCl3 (GGA-PBE)

Data for a relaxed CdCl3 crystal.

Lattice parameters (Å, degrees): 3.672 3.672 10.038 90.00 90.00 120.00
Fractional coordinates of all 4 atoms:
Cd: 0.000 0.000 0.000
Cl: 0.000 0.000 0.500
Cl: 0.667 0.333 0.163
Cl: 0.667 0.333 0.837

Summary:
mass density: 3.100 g cm⁻³
symmetry: P-6m2

[9]
## Cd3Cl2 (GGA-PBE)

Data for a relaxed Cd3Cl2 crystal.

Lattice parameters (Å, degrees): 12.909 6.436 14.227 65.07 26.88 88.05
Fractional coordinates of all 10 atoms:
Cd: 0.000 0.000 0.000
Cd: 0.250 0.250 0.250
Cd: 0.454 0.574 0.683
Cd: 0.567 0.961 0.796
Cd: 0.574 0.454 0.289
Cd: 0.961 0.567 0.676
Cl: 0.251 0.414 0.413
Cl: 0.329 0.837 0.836
Cl: 0.414 0.251 0.921
Cl: 0.837 0.329 0.999

Summary:
mass density: 5.064 g cm⁻³
symmetry: Fdd2

[10]
## CdCl3 (GGA-PBE)

Data for a relaxed CdCl3 crystal.

Lattice parameters (Å, degrees): 3.490 3.514 10.217 90.00 90.00 90.00
Fractional coordinates of all 4 atoms:
Cd: 0.000 0.000 0.000
Cl: 0.000 0.500 0.483
Cl: 0.500 0.000 0.821
Cl: 0.500 0.500 0.127

Summary:
mass density: 2.899 g cm⁻³
symmetry: Pmm2

[11]
## CdCl (GGA-PBE)

Data for a relaxed CdCl crystal.

Lattice parameters (Å, degrees): 3.674 3.417 8.375 90.00 102.53 90.00
Fractional coordinates of all 4 atoms:
Cd: 0.071 0.250 0.147
Cd: 0.929 0.750 0.853
Cl: 0.347 0.250 0.690
Cl: 0.653 0.750 0.310

Summary:
mass density: 4.784 g cm⁻³
symmetry: P2_1/m

[12]
## CdCl (GGA-PBE)

Data for a relaxed CdCl crystal.

Lattice parameters (Å, degrees): 8.975 8.975 3.857 90.00 90.00 90.00
Fractional coordinates of all 8 atoms:
Cd: 0.104 0.104 0.000
Cd: 0.396 0.604 0.500
Cd: 0.604 0.396 0.500
Cd: 0.896 0.896 0.000
Cl: 0.240 0.240 0.500
Cl: 0.260 0.740 0.000
Cl: 0.740 0.260 0.000
Cl: 0.760 0.760 0.500

Summary:
mass density: 3.161 g cm⁻³
symmetry: P4_2/mnm

Let's list uncorrected formation energy in order: -0.381 -0.723 -0.133 -0.726 -0.605 -0.462 -0.387 -0.428 -0.526 -0.391 -0.629 -0.734 eV/atom.
Let's list calculated total energy in order: -1.762 -2.104 -1.747 -2.106 -1.985 -2.076 -1.768 -2.041 -1.813 -2.004 -2.010 -2.115 eV/atom.
Let's list spin magnetization in order: 0.00 0.00 1.00 0.00 0.00 0.97 0.00 1.07 0.00 0.94 0.00 0.00 μB/f.u..